(1)
# LiTiAl

A relaxed LiTiAl crystal (PBE, the Alexandria database).

a = 4.438 Å, b = 4.438 Å, c = 2.824 Å
α = 90.00°, β = 90.00°, γ = 120.00°
Positions (direct):
Li1 0.000 0.000 0.000
Ti1 0.667 0.333 0.506
Al1 0.333 0.667 0.009

Final energy: -4.58 eV per atom
N(E_F): 0.917 states/eV/atom
Symmetry: No. 156
Calculated density: 2.82 g/cm³

---

(2)
# Sm7YSc4

A relaxed Sm7YSc4 crystal (PBE, the Alexandria database).

a = 8.316 Å, b = 8.316 Å, c = 9.461 Å
α = 117.85°, β = 117.85°, γ = 41.00°
Positions (direct):
Sm1 0.000 0.000 0.000
Sm2 0.262 0.262 0.726
Sm3 0.290 0.290 0.115
Sm4 0.410 0.410 0.549
Sm5 0.590 0.590 0.451
Sm6 0.710 0.710 0.885
Sm7 0.738 0.738 0.274
Y1 0.500 0.500 0.000
Sc1 0.056 0.056 0.699
Sc2 0.164 0.164 0.349
Sc3 0.836 0.836 0.651
Sc4 0.944 0.944 0.301

Final energy: -5.17 eV per atom
N(E_F): 1.690 states/eV/atom
Symmetry: No. 12
Calculated density: 5.90 g/cm³

---

(3)
# CuH

A relaxed CuH crystal (PBE, the Alexandria database).

a = 2.852 Å, b = 2.852 Å, c = 4.572 Å
α = 90.00°, β = 90.00°, γ = 120.00°
Positions (direct):
Cu1 0.333 0.667 0.000
Cu2 0.667 0.333 0.500
H1 0.333 0.667 0.381
H2 0.667 0.333 0.881

Final energy: -3.61 eV per atom
N(E_F): 0.001 states/eV/atom
Symmetry: No. 186
Calculated density: 6.66 g/cm³

---

(4)
# Sr2LiIn4Hg3

A relaxed Sr2LiIn4Hg3 crystal (PBE, the Alexandria database).

a = 4.741 Å, b = 4.741 Å, c = 12.389 Å
α = 90.00°, β = 90.00°, γ = 90.00°
Positions (direct):
Sr1 0.000 0.500 0.247
Sr2 0.500 0.000 0.753
Li1 0.500 0.500 0.000
In1 0.000 0.000 0.500
In2 0.000 0.500 0.874
In3 0.500 0.000 0.126
In4 0.500 0.500 0.500
Hg1 0.000 0.000 0.000
Hg2 0.000 0.500 0.646
Hg3 0.500 0.000 0.354

Final energy: -2.03 eV per atom
N(E_F): 0.655 states/eV/atom
Symmetry: No. 115
Calculated density: 7.41 g/cm³

---

Question: Among the records above, which one has the highest calculated density?
Answer: Sr2LiIn4Hg3

---

Question: final energy of number 2 (Sm7YSc4)?
Answer: -5.17 eV per atom

---

Question: Which value of calculated density does entry 3 give?
Answer: 6.66 g/cm³